# Na5Hg4 | Alexandria | GGA-PBE | optimized geometry
# DOS at the Fermi energy (states/eV/f.u.): 3.66
# Raw total energy (eV per atom): -1.06
# Mass density (g cm⁻³): 5.9
# Volume (Å³/f.u.): 258.72
data_Na5Hg4
_cell_length_a 11.223
_cell_length_b 4.612
_cell_length_c 11.370
_cell_angle_alpha 90.00
_cell_angle_beta 118.45
_cell_angle_gamma 90.00
_space_group_name_H-M_alt 'C 1 2/m 1'
_space_group_IT_number 12
loop_
_space_group_symop_operation_xyz
'x,y,z'
'-x,-y,-z'
'-x,y,-z'
'x,-y,z'
'x+1/2,y+1/2,z'
'-x+1/2,-y+1/2,-z'
'-x+1/2,y+1/2,-z'
'x+1/2,-y+1/2,z'
loop_
_atom_site_label
_atom_site_type_symbol
_atom_site_fract_x
_atom_site_fract_y
_atom_site_fract_z
Na1 Na 0.000 0.000 0.000
Na2 Na 0.107 0.000 0.409
Na3 Na 0.247 0.000 0.848
Hg1 Hg 0.030 0.500 0.829
Hg2 Hg 0.133 0.500 0.629